No. 1
Material: Rb2MnHgCl6
Method: DFT, PBE
State: relaxed

Cell lengths 7.3743, 7.3743, 10.4454 Å; angles 90.00, 90.00, 90.00 degrees
Space group I4/mmm (No. 139)
Asymmetric unit:
Rb 0.0000 0.5000 0.2500 (multiplicity 4)
Mn 0.0000 0.0000 0.0000 (multiplicity 2)
Hg 0.0000 0.0000 0.5000 (multiplicity 2)
Cl 0.0000 0.0000 0.2407 (multiplicity 4)
Cl 0.2401 0.2401 0.0000 (multiplicity 8)

- Total moment: 5.0 μB/f.u.
- Volume: 284.01 Å³/f.u.

***

No. 2
Material: MnHgRhCl
Method: DFT, PBE
State: relaxed

Cell lengths 3.2544, 4.3670, 11.8987 Å; angles 90.00, 90.00, 90.00 degrees
Space group Imm2 (No. 44)
Asymmetric unit:
Mn 0.0000 0.0000 0.0000 (multiplicity 2)
Hg 0.0000 0.5000 0.1677 (multiplicity 2)
Rh 0.0000 0.5000 0.6687 (multiplicity 2)
Cl 0.0000 0.5000 0.8913 (multiplicity 2)

- Total moment: 4.8 μB/f.u.
- Volume: 84.55 Å³/f.u.

***

ΔE_f (raw): -1293; -63 (meV/atom)
E_tot: -70.832; -37.839 (eV/cell)